# AcCdPd4 | the Open Quantum Materials Database | PBE | optimized geometry
data_AcCdPd4
_chemical_formula_sum 'Ac1 Cd1 Pd4'
_cell_length_a 5.527
_cell_length_b 5.527
_cell_length_c 5.527
_cell_angle_alpha 60.00
_cell_angle_beta 60.00
_cell_angle_gamma 60.00
_space_group_name_H-M_alt 'P 1'
_space_group_IT_number 1
loop_
_space_group_symop_operation_xyz
'x,y,z'
loop_
_atom_site_label
_atom_site_type_symbol
_atom_site_fract_x
_atom_site_fract_y
_atom_site_fract_z
_atom_site_occupancy
Pd1 Pd 0.626 0.123 0.626 1
Pd2 Pd 0.626 0.626 0.123 1
Pd3 Pd 0.123 0.626 0.626 1
Pd4 Pd 0.626 0.626 0.626 1
Cd1 Cd 0.000 0.000 0.000 1
Ac1 Ac 0.250 0.250 0.250 1
# total energy	-4.92	eV per atom
# ΔH_f (0 K)	-3.85	eV/f.u.
# magnetic moment	0.0	μB per formula unit